1.
VASP calculation (PBE) on K2TlPtN after structural relaxation.

Geometry as POSCAR:
```
K2TlPtN
1.0
6.1401 0.0000 0.0000
0.0000 6.1401 0.0000
0.0000 0.0000 3.7444
K Tl N Pt
2 1 1 1
Direct
0.0000 0.5000 0.0000
0.5000 0.0000 0.0000
0.5000 0.5000 0.5000
0.0000 0.0000 0.0000
0.0000 0.0000 0.5000
```

Summary:
**Calculated total energy**: -3.823 eV/atom
**E_form (uncorrected)**: -38 meV per atom
**Space-group type**: P4/mmm, No. 123
**Volume**: 141 Å³/cell
**E above lowest polymorph**: 0.0000 eV per atom



2.
VASP calculation (PBE) on Tb2Ga3Pd8 after structural relaxation.

Geometry as POSCAR:
```
Tb2Ga3Pd8
1.0
7.8860 0.0000 -0.4296
0.0000 5.5454 0.0000
-3.4680 -2.7727 5.4857
Pd Ga Tb
8 3 2
Direct
0.5962 0.6277 0.7584
0.7937 0.2846 0.5692
0.4038 0.3723 0.2416
0.5962 0.1307 0.7584
0.4038 0.8693 0.2416
0.8981 0.1147 0.2293
0.2063 0.7154 0.4308
0.1019 0.8853 0.7707
0.5000 0.0000 0.0000
0.0000 0.7379 0.0000
0.0000 0.2621 0.0000
0.2440 0.3627 0.7255
0.7560 0.6373 0.2745
```

Summary:
**Calculated total energy**: -5.273 eV/atom
**DFT formation energy**: -0.6667 eV per atom
**Space-group type**: C2/m, No. 12
**Volume**: 232 Å³/cell



3.
VASP calculation (PBE) on Li2PuInHg4 after structural relaxation.

Geometry as POSCAR:
```
Li2PuInHg4
1.0
4.7915 0.0000 0.0000
2.3957 4.1495 0.0000
2.3957 1.3832 9.4263
Hg Li In Pu
4 2 1 1
Direct
0.3875 0.3875 0.8375
0.8833 0.8833 0.3500
0.1167 0.1167 0.6500
0.6125 0.6125 0.1625
0.7648 0.7648 0.7056
0.2352 0.2352 0.2944
0.5000 0.5000 0.5000
0.0000 0.0000 0.0000
```

Summary:
**Calculated total energy**: -2.949 eV/atom
**DFT formation energy**: -0.1856 eV per atom
**Space-group type**: R-3m, No. 166
**Volume**: 187 Å³/cell